1.
Entry from Alexandria via LeMat-Bulk: a geometry-optimized HgOs2Pd structure (PBE).

- DFT total energy: -5.675 eV per atom
- DFT formation energy: 1.313 eV per atom
- SG: No. 122
- DOS(E_F): 11.49 states/eV per cell
- Magnetization: 3.31 Bohr magnetons per cell

Cell: 7.453 7.453 5.868 Å, 50.57 50.57 90.00°
Site moments in Bohr magnetons follow the coordinates.
Atoms (fractional coordinates):
Hg 0.000 0.000 0.000  0.01
Hg 0.750 0.250 0.500  0.01
Pd 0.500 0.500 0.000  0.19
Pd 0.250 0.750 0.500  0.19
Os 0.875 0.853 0.750  0.68
Os 0.147 0.625 0.250  0.68
Os 0.603 0.125 0.250  0.68
Os 0.375 0.397 0.750  0.68

---

2.
Entry from Alexandria via LeMat-Bulk: a geometry-optimized CsPuPdSe3 structure (PBE).

- DFT total energy: -6.222 eV per atom
- Uncorrected formation energy: -1.0829 eV per atom
- SG: No. 11
- DOS(E_F): 19.83 states/eV per cell
- Magnetization: 7.87 Bohr magnetons per cell

Cell: 4.258 9.498 10.155 Å, 111.74 90.00 90.00°
Site moments in Bohr magnetons follow the coordinates.
Atoms (fractional coordinates):
Pd 0.750 0.916 0.410  -0.21
Pd 0.250 0.084 0.590  -0.21
Pu 0.250 0.680 0.150  4.77
Pu 0.750 0.320 0.850  4.77
Se 0.750 0.869 0.136  -0.18
Se 0.250 0.131 0.864  -0.18
Se 0.750 0.475 0.151  -0.17
Se 0.250 0.796 0.448  -0.12
Se 0.750 0.204 0.552  -0.12
Se 0.250 0.525 0.849  -0.17
Cs 0.750 0.789 0.750  -0.01
Cs 0.250 0.211 0.250  -0.01

---

3.
Entry from Alexandria via LeMat-Bulk: a geometry-optimized Cr2MoRh structure (PBE).

- DFT total energy: -9.141 eV per atom
- DFT formation energy: 0.217 eV per atom
- SG: No. 160
- DOS(E_F): 4.01 states/eV per cell
- Magnetization: 0.10 Bohr magnetons per cell

Cell: 8.464 8.464 8.464 Å, 18.73 18.73 18.73°
Site moments in Bohr magnetons follow the coordinates.
Atoms (fractional coordinates):
Mo 0.502 0.502 0.502  0.01
Rh 0.745 0.745 0.745  0.01
Cr 0.993 0.993 0.993  0.16
Cr 0.260 0.260 0.260  -0.09

---

4.
Entry from Alexandria via LeMat-Bulk: a geometry-optimized SrScP3 structure (PBE).

- DFT total energy: -3.907 eV per atom
- DFT formation energy: 0.941 eV per atom
- SG: No. 221
- DOS(E_F): 5.62 states/eV per cell
- Magnetization: 0.00 Bohr magnetons per cell

Cell: 5.205 5.205 5.205 Å, 90.00 90.00 90.00°
Atoms (fractional coordinates):
P 0.500 0.000 0.000
P 0.000 0.500 0.000
P 0.000 0.000 0.500
Sr 0.000 0.000 0.000
Sc 0.500 0.500 0.500

---

5.
Entry from Alexandria via LeMat-Bulk: a geometry-optimized Nd2AlZn4Au3 structure (PBE).

- DFT total energy: -3.339 eV per atom
- DFT formation energy: -0.518 eV per atom
- SG: No. 115
- DOS(E_F): 3.92 states/eV per cell
- Magnetization: 0.00 Bohr magnetons per cell

Cell: 4.174 4.174 11.639 Å, 90.00 90.00 90.00°
Atoms (fractional coordinates):
Zn 0.000 0.500 0.364
Zn 0.000 0.000 0.000
Zn 0.500 0.000 0.636
Zn 0.500 0.500 0.000
Nd 0.000 0.500 0.746
Nd 0.500 0.000 0.254
Au 0.500 0.000 0.857
Au 0.000 0.500 0.143
Au 0.000 0.000 0.500
Al 0.500 0.500 0.500

---

6.
Entry from Alexandria via LeMat-Bulk: a geometry-optimized Rb2PdAuBr6 structure (PBE).

- DFT total energy: -2.894 eV per atom
- Uncorrected formation energy: -0.8502 eV per atom
- SG: No. 139
- DOS(E_F): 2.85 states/eV per cell
- Magnetization: 0.00 Bohr magnetons per cell

Cell: 7.573 7.573 7.582 Å, 60.04 60.04 90.00°
Atoms (fractional coordinates):
Br 0.256 0.744 0.000
Br 0.744 0.744 0.000
Br 0.256 0.256 0.000
Br 0.256 0.256 0.488
Br 0.744 0.256 0.000
Br 0.744 0.744 0.512
Au 0.000 0.000 0.000
Rb 0.750 0.250 0.500
Rb 0.250 0.750 0.500
Pd 0.500 0.500 0.000

---

7.
Entry from Alexandria via LeMat-Bulk: a geometry-optimized SrTe2F structure (PBE).

- DFT total energy: -3.437 eV per atom
- Uncorrected formation energy: -0.9776 eV per atom
- SG: No. 166
- DOS(E_F): 4.07 states/eV per cell
- Magnetization: 0.00 Bohr magnetons per cell

Cell: 7.761 7.761 7.761 Å, 39.87 39.87 39.87°
Atoms (fractional coordinates):
Sr 0.500 0.500 0.500
F 0.000 0.000 0.000
Te 0.105 0.105 0.105
Te 0.895 0.895 0.895

---

8.
Entry from Alexandria via LeMat-Bulk: a geometry-optimized MgBiTeI2 structure (PBE).

- DFT total energy: -2.247 eV per atom
- Uncorrected formation energy: 0.0969 eV per atom
- SG: No. 123
- DOS(E_F): 2.88 states/eV per cell
- Magnetization: 0.00 Bohr magnetons per cell

Cell: 6.073 6.073 6.130 Å, 90.00 90.00 90.00°
Atoms (fractional coordinates):
Bi 0.000 0.000 0.000
Te 0.000 0.000 0.500
I 0.500 0.000 0.000
I 0.000 0.500 0.000
Mg 0.500 0.500 0.500

---

9.
Entry from Alexandria via LeMat-Bulk: a geometry-optimized TmScNiRu structure (PBE).

- DFT total energy: -6.976 eV per atom
- DFT formation energy: -0.511 eV per atom
- SG: No. 216
- DOS(E_F): 2.15 states/eV per cell
- Magnetization: 0.00 Bohr magnetons per cell

Cell: 4.622 4.622 4.622 Å, 60.00 60.00 60.00°
Atoms (fractional coordinates):
Ru 0.750 0.750 0.750
Ni 0.250 0.250 0.250
Tm 0.500 0.500 0.500
Sc 0.000 0.000 0.000

---

10.
Entry from Alexandria via LeMat-Bulk: a geometry-optimized U2NiTe6 structure (PBE).

- DFT total energy: -5.489 eV per atom
- Uncorrected formation energy: -0.2436 eV per atom
- SG: No. 136
- DOS(E_F): 26.73 states/eV per cell
- Magnetization: 6.86 Bohr magnetons per cell

Cell: 6.841 6.841 12.849 Å, 90.00 90.00 90.00°
Site moments in Bohr magnetons follow the coordinates.
Atoms (fractional coordinates):
Ni 0.500 0.500 0.000  0.57
Ni 0.000 0.000 0.500  0.57
U 0.000 0.000 0.170  1.63
U 0.500 0.500 0.330  1.63
U 0.500 0.500 0.670  1.63
U 0.000 0.000 0.830  1.63
Te 0.693 0.693 0.148  -0.05
Te 0.291 0.291 0.500  -0.08
Te 0.307 0.307 0.148  -0.05
Te 0.193 0.807 0.352  -0.05
Te 0.209 0.791 0.000  -0.08
Te 0.791 0.209 0.000  -0.08
Te 0.307 0.307 0.852  -0.05
Te 0.709 0.709 0.500  -0.08
Te 0.807 0.193 0.352  -0.05
Te 0.807 0.193 0.648  -0.05
Te 0.193 0.807 0.648  -0.05
Te 0.693 0.693 0.852  -0.05

---

11.
Entry from Alexandria via LeMat-Bulk: a geometry-optimized TmZrOsRu structure (PBE).

- DFT total energy: -8.850 eV per atom
- DFT formation energy: -0.468 eV per atom
- SG: No. 216
- DOS(E_F): 2.11 states/eV per cell
- Magnetization: 0.00 Bohr magnetons per cell

Cell: 4.688 4.688 4.688 Å, 60.00 60.00 60.00°
Atoms (fractional coordinates):
Ru 0.750 0.750 0.750
Zr 0.000 0.000 0.000
Os 0.250 0.250 0.250
Tm 0.500 0.500 0.500

---

12.
Entry from Alexandria via LeMat-Bulk: a geometry-optimized Cu3Ni structure (PBE).

- DFT total energy: -4.508 eV per atom
- DFT formation energy: 0.009 eV per atom
- SG: No. 47
- DOS(E_F): 1.85 states/eV per cell
- Magnetization: 0.00 Bohr magnetons per cell

Cell: 2.558 3.553 5.100 Å, 90.00 90.00 90.00°
Atoms (fractional coordinates):
Cu 0.500 0.500 0.750
Cu 0.000 0.000 0.497
Cu 0.000 0.000 0.003
Ni 0.500 0.500 0.250

---

13.
Entry from Alexandria via LeMat-Bulk: a geometry-optimized Th6CoRu2S3 structure (PBE).

- DFT total energy: -7.962 eV per atom
- Uncorrected formation energy: -1.0816 eV per atom
- SG: No. 12
- DOS(E_F): 6.02 states/eV per cell
- Magnetization: 0.00 Bohr magnetons per cell

Cell: 6.959 6.959 7.505 Å, 98.92 98.92 119.97°
Atoms (fractional coordinates):
S 0.500 0.500 0.500
S 0.832 0.168 0.500
S 0.168 0.832 0.500
Th 0.403 0.074 0.223
Th 0.745 0.745 0.223
Th 0.255 0.255 0.777
Th 0.597 0.926 0.777
Th 0.074 0.403 0.223
Th 0.926 0.597 0.777
Ru 0.667 0.333 0.000
Ru 0.333 0.667 0.000
Co 0.000 0.000 0.000

---

14.
Entry from Alexandria via LeMat-Bulk: a geometry-optimized CeGaTe structure (PBE).

- DFT total energy: -4.857 eV per atom
- Uncorrected formation energy: -0.8225 eV per atom
- SG: No. 164
- DOS(E_F): 6.98 states/eV per cell
- Magnetization: 0.58 Bohr magnetons per cell

Cell: 4.349 4.349 11.222 Å, 90.00 90.00 120.00°
Site moments in Bohr magnetons follow the coordinates.
Atoms (fractional coordinates):
Ce 0.000 0.000 0.807  0.31
Ce 0.000 0.000 0.193  0.31
Ga 0.333 0.667 0.973  -0.01
Ga 0.667 0.333 0.027  -0.01
Te 0.333 0.667 0.348  -0.02
Te 0.667 0.333 0.652  -0.02

---

15.
Entry from Alexandria via LeMat-Bulk: a geometry-optimized CaGePbBr6 structure (PBE).

- DFT total energy: -3.414 eV per atom
- Uncorrected formation energy: -1.1513 eV per atom
- SG: No. 163
- DOS(E_F): 0.00 states/eV per cell
- Magnetization: 0.00 Bohr magnetons per cell

Cell: 7.297 7.297 13.339 Å, 90.00 90.00 120.00°
Atoms (fractional coordinates):
Br 0.009 0.354 0.629
Br 0.991 0.646 0.371
Br 0.646 0.991 0.871
Br 0.354 0.009 0.129
Br 0.354 0.345 0.371
Br 0.655 0.646 0.129
Br 0.646 0.655 0.629
Br 0.345 0.991 0.629
Br 0.009 0.655 0.871
Br 0.991 0.345 0.129
Br 0.345 0.354 0.871
Br 0.655 0.009 0.371
Ca 0.667 0.333 0.750
Ca 0.333 0.667 0.250
Ge 0.333 0.667 0.750
Ge 0.667 0.333 0.250
Pb 0.000 0.000 0.000
Pb 0.000 0.000 0.500

---

16.
Entry from Alexandria via LeMat-Bulk: a geometry-optimized Sr3PuU2As6 structure (PBE).

- DFT total energy: -6.819 eV per atom
- DFT formation energy: -0.998 eV per atom
- SG: No. 12
- DOS(E_F): 26.69 states/eV per cell
- Magnetization: 8.00 Bohr magnetons per cell

Cell: 7.385 7.385 7.508 Å, 99.44 99.44 119.99°
Site moments in Bohr magnetons follow the coordinates.
Atoms (fractional coordinates):
As 0.413 0.072 0.215  -0.08
As 0.928 0.587 0.785  -0.08
As 0.587 0.928 0.785  -0.08
As 0.270 0.270 0.785  -0.08
As 0.730 0.730 0.215  -0.08
As 0.072 0.413 0.215  -0.08
U 0.333 0.667 0.000  1.72
U 0.667 0.333 0.000  1.72
Sr 0.835 0.165 0.500  -0.01
Sr 0.165 0.835 0.500  -0.01
Sr 0.500 0.500 0.500  -0.01
Pu 0.000 0.000 0.000  5.06

---

17.
Entry from Alexandria via LeMat-Bulk: a geometry-optimized LuHfTlAu structure (PBE).

- DFT total energy: -5.286 eV per atom
- DFT formation energy: -0.257 eV per atom
- SG: No. 216
- DOS(E_F): 2.79 states/eV per cell
- Magnetization: 0.97 Bohr magnetons per cell

Cell: 5.023 5.023 5.023 Å, 60.00 60.00 60.00°
Site moments in Bohr magnetons follow the coordinates.
Atoms (fractional coordinates):
Hf 0.000 0.000 0.000  -0.41
Tl 0.250 0.250 0.250  0.00
Lu 0.500 0.500 0.500  -0.21
Au 0.750 0.750 0.750  -0.05

---

18.
Entry from Alexandria via LeMat-Bulk: a geometry-optimized LaAlAgAu structure (PBE).

- DFT total energy: -4.155 eV per atom
- DFT formation energy: -0.455 eV per atom
- SG: No. 216
- DOS(E_F): 2.70 states/eV per cell
- Magnetization: 0.00 Bohr magnetons per cell

Cell: 5.009 5.009 5.009 Å, 60.00 60.00 60.00°
Atoms (fractional coordinates):
Ag 0.500 0.500 0.500
Al 0.250 0.250 0.250
La 0.750 0.750 0.750
Au 0.000 0.000 0.000

---

19.
Entry from Alexandria via LeMat-Bulk: a geometry-optimized CaTiO2 structure (PBE).

- DFT total energy: -7.438 eV per atom
- Uncorrected formation energy: -2.4850 eV per atom
- SG: No. 12
- DOS(E_F): 6.72 states/eV per cell
- Magnetization: 0.94 Bohr magnetons per cell

Cell: 9.336 9.336 8.713 Å, 58.88 58.88 19.00°
Site moments in Bohr magnetons follow the coordinates.
Atoms (fractional coordinates):
O 0.762 0.762 0.643  -0.01
O 0.401 0.401 0.339  0.00
O 0.178 0.178 0.121  0.00
O 0.884 0.884 0.086  0.00
O 0.116 0.116 0.914  0.00
O 0.822 0.822 0.879  0.00
O 0.599 0.599 0.661  0.00
O 0.238 0.238 0.357  -0.01
Ca 0.640 0.640 0.358  0.02
Ca 0.360 0.360 0.642  0.02
Ca 0.008 0.008 0.203  0.06
Ca 0.992 0.992 0.797  0.06
Ti 0.818 0.818 0.357  -0.42
Ti 0.182 0.182 0.643  -0.42
Ti 0.309 0.309 0.064  0.59
Ti 0.691 0.691 0.936  0.59

---

20.
Entry from Alexandria via LeMat-Bulk: a geometry-optimized LiPmGdSn structure (PBE).

- DFT total energy: -6.324 eV per atom
- DFT formation energy: -0.137 eV per atom
- SG: No. 216
- DOS(E_F): 5.72 states/eV per cell
- Magnetization: 9.39 Bohr magnetons per cell

Cell: 5.303 5.303 5.303 Å, 60.00 60.00 60.00°
Site moments in Bohr magnetons follow the coordinates.
Atoms (fractional coordinates):
Pm 0.750 0.750 0.750  0.66
Gd 0.500 0.500 0.500  7.64
Li 0.000 0.000 0.000  0.03
Sn 0.250 0.250 0.250  -0.03

---

21.
Entry from Alexandria via LeMat-Bulk: a geometry-optimized Hf6Pt2S structure (PBE).

- DFT total energy: -9.266 eV per atom
- Uncorrected formation energy: -0.8289 eV per atom
- SG: No. 14
- DOS(E_F): 13.06 states/eV per cell
- Magnetization: 0.00 Bohr magnetons per cell

Cell: 5.861 6.686 9.306 Å, 90.00 92.88 90.00°
Atoms (fractional coordinates):
Pt 0.418 0.115 0.267
Pt 0.582 0.885 0.733
Pt 0.918 0.385 0.767
Pt 0.082 0.615 0.233
Hf 0.658 0.468 0.260
Hf 0.159 0.340 0.446
Hf 0.158 0.032 0.760
Hf 0.659 0.160 0.946
Hf 0.342 0.532 0.740
Hf 0.841 0.660 0.554
Hf 0.148 0.292 0.059
Hf 0.352 0.792 0.441
Hf 0.341 0.840 0.054
Hf 0.648 0.208 0.559
Hf 0.852 0.708 0.941
Hf 0.842 0.968 0.240
S 0.500 0.500 0.000
S 0.000 0.000 0.500

---

22.
Entry from Alexandria via LeMat-Bulk: a geometry-optimized Tl2CoCu structure (PBE).

- DFT total energy: -3.398 eV per atom
- DFT formation energy: 0.586 eV per atom
- SG: No. 12
- DOS(E_F): 4.81 states/eV per cell
- Magnetization: 1.12 Bohr magnetons per cell

Cell: 4.437 4.437 5.724 Å, 77.86 77.86 44.56°
Site moments in Bohr magnetons follow the coordinates.
Atoms (fractional coordinates):
Tl 0.003 0.003 0.993  -0.01
Tl 0.497 0.497 0.507  -0.01
Co 0.750 0.750 0.750  1.19
Cu 0.250 0.250 0.250  0.02

---

23.
Entry from Alexandria via LeMat-Bulk: a geometry-optimized Zr2AsOs structure (PBE).

- DFT total energy: -8.738 eV per atom
- DFT formation energy: -0.494 eV per atom
- SG: No. 65
- DOS(E_F): 3.23 states/eV per cell
- Magnetization: 0.00 Bohr magnetons per cell

Cell: 4.758 4.758 3.310 Å, 89.98 89.98 102.61°
Atoms (fractional coordinates):
As 0.500 0.000 0.500
Os 0.000 0.500 0.500
Zr 0.500 0.500 0.000
Zr 0.000 0.000 0.000

---

24.
Entry from Alexandria via LeMat-Bulk: a geometry-optimized BeSb2W structure (PBE).

- DFT total energy: -5.281 eV per atom
- Uncorrected formation energy: 0.9505 eV per atom
- SG: No. 47
- DOS(E_F): 2.53 states/eV per cell
- Magnetization: 0.00 Bohr magnetons per cell

Cell: 3.496 5.075 4.289 Å, 90.00 90.00 90.00°
Atoms (fractional coordinates):
W 0.500 0.000 0.500
Sb 0.500 0.500 0.000
Sb 0.000 0.000 0.000
Be 0.000 0.500 0.500